CrRh3O: relaxed, PBE with a Hubbard U.

Results
E, eV per atom: -6.23
M_tot, μB/atom: 0.3633

```
data_CrRh3O
_chemical_formula_sum 'Cr1 Rh3 O1'
_cell_length_a 4.091
_cell_length_b 4.091
_cell_length_c 4.091
_cell_angle_alpha 90.00
_cell_angle_beta 90.00
_cell_angle_gamma 90.00
_space_group_name_H-M_alt 'P m -3 m'
_space_group_IT_number 221
_space_group_name_Hall '-P 4 2 3'
loop_
_atom_site_label
_atom_site_fract_x
_atom_site_fract_y
_atom_site_fract_z
Cr1 0.000 0.000 0.000
Rh1 0.000 0.500 0.500
O1 0.500 0.500 0.500
```